LiCu3Ge: relaxed, PBE.

POSCAR file:
```
LiCu3Ge
1.0
-4.376 -0.953 -0.695
1.135 -1.727 -4.781
1.100 -7.119 2.832
Li Cu Ge
2 6 2
Direct
0.500 0.000 0.000
0.500 0.500 0.500
0.500 0.500 0.000
0.500 0.000 0.500
0.000 0.750 0.250
0.000 0.250 0.250
0.000 0.250 0.750
0.000 0.750 0.750
0.000 0.500 0.000
0.000 0.000 0.500
```

Energy ... -3.535 eV/atom
Space group ... Cmmm, No. 65
Energy relative to the elements ... 0.229 eV/atom
Polymorph energy (0 for the lowest one) ... 355 meV/atom